Record 1
The following is a PBE-GGA calculation of an optimized crystal structure of Cd2In2Hg, from Alexandria via LeMat-Bulk.

a b c (Å): 9.3097 9.3097 3.0847
angles (deg): 90.00 90.00 90.00
Last column: nearest neighbours and their distance in Å.
Fractional coordinates of all 10 atoms:
Cd 0.8414 0.3414 0.5000  2 Cd 3.08, 6 In 3.09-3.17
Cd 0.3414 0.1586 0.5000  2 Cd 3.08, 6 In 3.09-3.17
Cd 0.1586 0.6586 0.5000  2 Cd 3.08, 6 In 3.09-3.17
Cd 0.6586 0.8414 0.5000  2 Cd 3.08, 6 In 3.09-3.17
In 0.6382 0.1382 0.0000  2 In 3.08, 6 Cd 3.09-3.17
In 0.1382 0.3618 0.0000  2 In 3.08, 6 Cd 3.09-3.17
In 0.3618 0.8618 0.0000  2 In 3.08, 6 Cd 3.09-3.17
In 0.8618 0.6382 0.0000  2 In 3.08, 6 Cd 3.09-3.17
Hg 0.5000 0.5000 0.0000  2 Hg 3.08
Hg 0.0000 0.0000 0.0000  2 Hg 3.08

- Symmetry: P4/mbm
- Energy above the lowest structure with this stoichiometry: 4.5 meV per atom
- Calculated volume: 267 Å³ per cell


Record 2
The following is a PBE-GGA calculation of an optimized crystal structure of CdInHg, from Alexandria via LeMat-Bulk.

a b c (Å): 5.7044 5.7044 5.7044
angles (deg): 145.56 133.38 59.23
Last column: nearest neighbours and their distance in Å.
Fractional coordinates of all 3 atoms:
In 0.6655 0.6655 0.0000  5 Hg 3.26-3.29, 5 Cd 3.28-3.29, 2 In 3.38
Hg 0.3371 0.3371 0.0000  5 Cd 3.24-3.37, 5 In 3.26-3.29, 2 Hg 3.38
Cd 0.9973 0.9973 0.0000  5 Hg 3.24-3.37, 5 In 3.28-3.29, 2 Cd 3.38

- Symmetry: Imm2
- Electronic total energy: -3.88 eV/cell
- Calculated volume: 76 Å³ per cell


Record 3
The following is a PBE-GGA calculation of an optimized crystal structure of Cd6InHg7, from Alexandria via LeMat-Bulk.

a b c (Å): 6.4990 11.0879 11.0879
angles (deg): 88.35 72.96 72.96
Last column: nearest neighbours and their distance in Å.
Fractional coordinates of all 28 atoms:
Hg 0.7437 0.0255 0.9745  1 Cd 3.01, 3 Hg 3.19-3.26
Hg 0.7500 0.7500 0.7500  4 Cd 3.05, 2 In 3.25
Hg 0.2437 0.4745 0.5255  1 Cd 3.01, 3 Hg 3.19-3.26
Hg 0.2563 0.9745 0.0255  1 Cd 3.01, 3 Hg 3.19-3.26
Hg 0.0180 0.2571 0.9701  5 Cd 3.05-3.14, 1 In 3.09, 2 Hg 3.19-3.30
Hg 0.7452 0.2429 0.5299  5 Cd 3.05-3.14, 1 In 3.09, 2 Hg 3.19-3.30
Hg 0.2452 0.0299 0.7429  5 Cd 3.05-3.14, 1 In 3.09, 2 Hg 3.19-3.30
Hg 0.7548 0.9701 0.2571  5 Cd 3.05-3.14, 1 In 3.09, 2 Hg 3.19-3.30
Hg 0.2500 0.2500 0.2500  4 Cd 3.05, 2 In 3.25
Hg 0.4820 0.5299 0.2429  5 Cd 3.05-3.14, 1 In 3.09, 2 Hg 3.19-3.30
Hg 0.7563 0.5255 0.4745  1 Cd 3.01, 3 Hg 3.19-3.26
Hg 0.2548 0.7571 0.4701  5 Cd 3.05-3.14, 1 In 3.09, 2 Hg 3.19-3.30
Hg 0.5180 0.4701 0.7571  5 Cd 3.05-3.14, 1 In 3.09, 2 Hg 3.19-3.30
Hg 0.9820 0.7429 0.0299  5 Cd 3.05-3.14, 1 In 3.09, 2 Hg 3.19-3.30
In 0.2500 0.7500 0.7500  6 Hg 3.09-3.25, 4 Cd 3.41
In 0.7500 0.2500 0.2500  6 Hg 3.09-3.25, 4 Cd 3.41
Cd 0.6185 0.8563 0.5172  3 Cd 2.99-3.17, 4 Hg 3.05-3.14
Cd 0.9919 0.4828 0.1437  3 Cd 2.99-3.17, 4 Hg 3.05-3.14
Cd 0.0081 0.5172 0.8563  3 Cd 2.99-3.17, 4 Hg 3.05-3.14
Cd 0.9909 0.6932 0.3068  2 Cd 2.99, 5 Hg 3.01-3.12
Cd 0.5091 0.1932 0.8068  2 Cd 2.99, 5 Hg 3.01-3.12
Cd 0.4919 0.6437 0.9828  3 Cd 2.99-3.17, 4 Hg 3.05-3.14
Cd 0.8815 0.9828 0.6437  3 Cd 2.99-3.17, 4 Hg 3.05-3.14
Cd 0.3815 0.1437 0.4828  3 Cd 2.99-3.17, 4 Hg 3.05-3.14
Cd 0.1185 0.0172 0.3563  3 Cd 2.99-3.17, 4 Hg 3.05-3.14
Cd 0.5081 0.3563 0.0172  3 Cd 2.99-3.17, 4 Hg 3.05-3.14
Cd 0.0091 0.3068 0.6932  2 Cd 2.99, 5 Hg 3.01-3.12
Cd 0.4909 0.8068 0.1932  2 Cd 2.99, 5 Hg 3.01-3.12

- Symmetry: Ibam
- Electronic total energy: -19.71 eV/cell
- Calculated volume: 729 Å³ per cell


Record 4
The following is a PBE-GGA calculation of an optimized crystal structure of Cd2In5Hg12, from Alexandria via LeMat-Bulk.

a b c (Å): 8.6029 9.0288 7.6041
angles (deg): 88.38 90.00 118.45
Last column: nearest neighbours and their distance in Å.
Fractional coordinates of all 19 atoms:
Cd 0.3103 0.0000 0.0000  6 Hg 3.09-3.16, 1 Cd 3.26, 2 In 3.32
Cd 0.6897 0.0000 0.0000  6 Hg 3.09-3.16, 1 Cd 3.26, 2 In 3.32
Hg 0.4440 0.8879 0.6669  7 Hg 3.05-3.32, 2 Cd 3.16
Hg 0.9224 0.8448 0.8816  3 Hg 3.03-3.10, 2 Cd 3.09, 1 In 3.12
Hg 0.5560 0.1121 0.3331  7 Hg 3.05-3.32, 2 Cd 3.16
Hg 0.6390 0.7906 0.3469  3 In 3.02-3.17, 1 Cd 3.11, 3 Hg 3.30-3.35
Hg 0.4569 0.3931 0.2139  3 Hg 3.03-3.35, 4 In 3.08-3.26
Hg 0.5431 0.6069 0.7861  3 Hg 3.03-3.35, 4 In 3.08-3.26
Hg 0.8483 0.2094 0.6531  3 In 3.02-3.17, 1 Cd 3.11, 3 Hg 3.30-3.35
Hg 0.0638 0.6069 0.7861  3 Hg 3.03-3.35, 4 In 3.08-3.26
Hg 0.0776 0.1552 0.1184  3 Hg 3.03-3.10, 2 Cd 3.09, 1 In 3.12
Hg 0.1517 0.7906 0.3469  3 In 3.02-3.17, 1 Cd 3.11, 3 Hg 3.30-3.35
Hg 0.3610 0.2094 0.6531  3 In 3.02-3.17, 1 Cd 3.11, 3 Hg 3.30-3.35
Hg 0.9362 0.3931 0.2139  3 Hg 3.03-3.35, 4 In 3.08-3.26
In 0.2340 0.4679 0.5134  8 Hg 3.15-3.51, 1 In 3.51
In 0.3213 0.6427 0.0834  6 Hg 3.08-3.15, 2 Cd 3.32
In 0.0000 0.0000 0.5000  6 Hg 3.02-3.12
In 0.6787 0.3573 0.9166  6 Hg 3.08-3.15, 2 Cd 3.32
In 0.7660 0.5321 0.4866  8 Hg 3.15-3.51, 1 In 3.51

- Symmetry: C2/m
- Energy above the lowest structure with this stoichiometry: 16.1 meV per atom
- Calculated volume: 519 Å³ per cell


Record 5
The following is a PBE-GGA calculation of an optimized crystal structure of Cd2In2Hg3, from Alexandria via LeMat-Bulk.

a b c (Å): 4.3644 6.2250 7.6816
angles (deg): 109.47 106.50 90.00
Last column: nearest neighbours and their distance in Å.
Fractional coordinates of all 7 atoms:
Hg 0.2231 0.7824 0.4462  3 Cd 3.00-3.06, 3 Hg 3.14-3.35, 3 In 3.18-3.34
Hg 0.7769 0.2176 0.5538  3 Cd 3.00-3.06, 3 Hg 3.14-3.35, 3 In 3.18-3.34
Hg 0.0000 0.5000 0.0000  4 In 2.99, 2 Cd 2.99, 2 Hg 3.14
In 0.4364 0.1505 0.8728  5 Hg 2.99-3.34, 1 In 3.08, 2 Cd 3.25
In 0.5636 0.8495 0.1272  5 Hg 2.99-3.34, 1 In 3.08, 2 Cd 3.25
Cd 0.1439 0.2586 0.2879  4 Hg 2.99-3.06, 2 In 3.25
Cd 0.8561 0.7414 0.7121  4 Hg 2.99-3.06, 2 In 3.25

- Symmetry: C2/m
- Energy above the lowest structure with this stoichiometry: 28.1 meV per atom
- Calculated volume: 188 Å³ per cell


Record 6
The following is a PBE-GGA calculation of an optimized crystal structure of Cd2In3Hg3, from Alexandria via LeMat-Bulk.

a b c (Å): 4.9264 4.8896 8.4806
angles (deg): 90.00 90.00 90.00
Last column: nearest neighbours and their distance in Å.
Fractional coordinates of all 8 atoms:
In 0.5000 0.5000 0.2558  6 Hg 3.20-3.28, 2 In 3.27, 4 Cd 3.47
In 0.5000 0.5000 0.7442  6 Hg 3.20-3.28, 2 In 3.27, 4 Cd 3.47
In 0.5000 0.0000 0.0000  4 In 3.27, 4 Cd 3.28, 4 Hg 3.47
Hg 0.0000 0.5000 0.5000  4 Cd 3.21, 4 In 3.22, 4 Hg 3.47
Hg 0.5000 0.0000 0.5000  4 In 3.20, 4 Cd 3.22, 4 Hg 3.47
Hg 0.0000 0.5000 0.0000  4 Cd 3.26, 8 In 3.28-3.47
Cd 0.0000 0.0000 0.2546  6 Hg 3.21-3.26, 6 In 3.28-3.47
Cd 0.0000 0.0000 0.7454  6 Hg 3.21-3.26, 6 In 3.28-3.47

- Symmetry: Pmmm
- Electronic total energy: -10.82 eV/cell
- Calculated volume: 204 Å³ per cell